(1)
A plane-wave DFT calculation with PBEsol was carried out for a relaxed In2TePb crystal.

Energy above the most stable polymorph in this dataset   0.49 kcal/mol of atoms
M_tot   0.000 μB per formula unit
DOS(E_F)   2.0 states/eV/f.u.

Lattice parameters (Å, degrees): 4.242 4.936 5.418 90.00 90.00 90.00
Element x y z (fractional)
In: 0.000 0.000 0.000
In: 0.500 0.500 0.000
Te: 0.000 0.500 0.500
Pb: 0.500 0.000 0.500


(2)
A plane-wave DFT calculation with PBEsol was carried out for a relaxed K2MnTe crystal.

Total DFT energy (no corrections)   -3.7029 eV/atom
M_tot   4.976 μB per formula unit
DOS(E_F)   0.9 states/eV/f.u.

Lattice parameters (Å, degrees): 6.058 6.058 6.058 128.90 128.90 75.18
Element x y z (fractional)
K: 0.250 0.750 0.500
K: 0.750 0.250 0.500
Mn: 0.000 0.000 0.000
Te: 0.500 0.500 0.000


(3)
A plane-wave DFT calculation with PBEsol was carried out for a relaxed SrCd2Ru crystal.

M_tot   0.001 μB per formula unit
ΔH_f (0 K)   254 meV/atom
DOS(E_F)   2.5 states/eV/f.u.

Lattice parameters (Å, degrees): 5.332 5.332 5.332 131.63 131.63 70.81
Element x y z (fractional)
Sr: 0.000 0.000 0.000
Cd: 0.250 0.750 0.500
Cd: 0.750 0.250 0.500
Ru: 0.500 0.500 0.000


(4)
A plane-wave DFT calculation with PBEsol was carried out for a relaxed CrAg3Br crystal.

Total DFT energy (no corrections)   -3.1945 eV/atom
M_tot   5.167 μB per formula unit
DOS(E_F)   2.2 states/eV/f.u.

Lattice parameters (Å, degrees): 5.035 5.035 5.035 90.00 90.00 90.00
Element x y z (fractional)
Cr: 0.000 0.000 0.000
Ag: 0.000 0.500 0.500
Ag: 0.500 0.000 0.500
Ag: 0.500 0.500 0.000
Br: 0.500 0.500 0.500


(5)
A plane-wave DFT calculation with PBEsol was carried out for a relaxed TaCrW crystal.

M_tot   0.000 μB per formula unit
ΔH_f (0 K)   -22 meV/atom
DOS(E_F)   1.3 states/eV/f.u.

Lattice parameters (Å, degrees): 5.168 5.168 5.168 145.36 145.36 49.80
Element x y z (fractional)
Ta: 0.000 0.000 0.000
Cr: 0.335 0.335 0.000
W: 0.682 0.682 0.000


(6)
A plane-wave DFT calculation with PBEsol was carried out for a relaxed Al3ReAu crystal.

M_tot   0.000 μB per formula unit
ΔH_f (0 K)   572 meV/atom
DOS(E_F)   1.8 states/eV/f.u.

Lattice parameters (Å, degrees): 4.696 4.696 4.696 90.00 90.00 90.00
Element x y z (fractional)
Al: 0.000 0.000 0.500
Al: 0.000 0.500 0.000
Al: 0.500 0.000 0.000
Re: 0.000 0.000 0.000
Au: 0.500 0.500 0.500


(7)
A plane-wave DFT calculation with PBEsol was carried out for a relaxed LiV3OF11 crystal.

Total DFT energy (no corrections)   -6.3853 eV/atom
M_tot   3.007 μB per formula unit
DOS(E_F)   6.8 states/eV/f.u.

Lattice parameters (Å, degrees): 5.219 5.252 15.135 90.00 99.20 90.00
Element x y z (fractional)
Li: 0.247 0.000 0.486
Li: 0.753 0.500 0.514
V: 0.107 0.239 0.673
V: 0.251 0.720 0.000
V: 0.423 0.273 0.327
V: 0.577 0.773 0.673
V: 0.749 0.220 0.000
V: 0.893 0.739 0.327
O: 0.371 0.032 0.679
O: 0.629 0.532 0.321
F: 0.055 0.038 0.987
F: 0.062 0.236 0.784
F: 0.072 0.263 0.547
F: 0.132 0.459 0.352
F: 0.202 0.693 0.885
F: 0.214 0.964 0.354
F: 0.289 0.242 0.214
F: 0.301 0.542 0.686
F: 0.334 0.785 0.113
F: 0.434 0.407 0.014
F: 0.479 0.749 0.547
F: 0.521 0.249 0.453
F: 0.566 0.907 0.986
F: 0.666 0.285 0.887
F: 0.699 0.042 0.314
F: 0.711 0.742 0.786
F: 0.786 0.464 0.646
F: 0.798 0.193 0.115
F: 0.868 0.959 0.648
F: 0.928 0.763 0.453
F: 0.938 0.736 0.216
F: 0.945 0.538 0.013


(8)
A plane-wave DFT calculation with PBEsol was carried out for a relaxed TlCu crystal.

M_tot   0.000 μB per formula unit
ΔH_f (0 K)   300 meV/atom
DOS(E_F)   0.7 states/eV/f.u.

Lattice parameters (Å, degrees): 6.176 6.176 6.176 151.32 137.94 51.70
Element x y z (fractional)
Tl: 0.357 0.107 0.250
Tl: 0.643 0.893 0.750
Cu: 0.087 0.337 0.750
Cu: 0.913 0.663 0.250